Entry from Alexandria: a crystal of Ba2CoRu relaxed with PBEsol (SCAN).

total moment	0.5377	μB per atom
VASP energy	-127.83	eV per cell
calculated formation energy	0.85	eV per atom

Cell: 5.2459 5.2459 3.5909 Å, 90.00 90.00 90.17°
Sites, in units of the cell vectors:
1 Ba 0.0000 0.5000 0.0000
2 Ba 0.5000 0.0000 0.0000
3 Co 0.0000 0.0000 0.5000
4 Ru 0.5000 0.5000 0.5000